{"formula": "MnIrNO2", "functional": "PBE+U", "state": "relaxed", "lattice_angstrom": [[4.0662, 0.0000, 0.0000], [0.0000, 4.0662, 0.0000], [0.0000, 0.0000, 3.6868]], "species": ["Mn", "Ir", "N", "O", "O"], "frac_coords": [[0.0000, 0.0000, 0.0000], [0.5000, 0.5000, 0.5000], [0.5000, 0.5000, 0.0000], [0.0000, 0.5000, 0.5000], [0.5000, 0.0000, 0.5000]], "e_tot_ev_per_atom": -6.9618, "space_group": "P4/mmm (123)"}